Run w
! BaZr3Bi, optimized geometry, DFT PBE; values from VASP
&SYSTEM
  ibrav = 0, nat = 5, ntyp = 3
/
ATOMIC_SPECIES
Ba 137.33 Ba.upf
Zr 91.22 Zr.upf
Bi 208.98 Bi.upf
CELL_PARAMETERS angstrom
5.597 0.000 0.000
0.000 5.597 0.000
0.000 0.000 5.597
ATOMIC_POSITIONS angstrom
Ba 0.000 0.000 0.000
Zr 0.000 2.799 2.799
Zr 2.799 0.000 2.799
Zr 2.799 2.799 0.000
Bi 2.799 2.799 2.799
! Crystal system: cubic
! Density in g/cm³: 5.87
! Space group: No. 221

=====

Run x
! BaZr3Bi, optimized geometry, DFT PBE; values from VASP
&SYSTEM
  ibrav = 0, nat = 5, ntyp = 3
/
ATOMIC_SPECIES
Ba 137.33 Ba.upf
Zr 91.22 Zr.upf
Bi 208.98 Bi.upf
CELL_PARAMETERS angstrom
5.336 0.000 0.000
0.000 5.336 0.000
0.000 0.000 5.336
ATOMIC_POSITIONS angstrom
Ba 0.000 0.000 0.000
Zr 0.000 0.000 2.668
Zr 0.000 2.668 0.000
Zr 2.668 0.000 0.000
Bi 2.668 2.668 2.668
! Crystal system: cubic
! Density in g/cm³: 6.77
! Space group: No. 221

=====

The least stable of them is run x.

=====

Run w
! Ba2Br, optimized geometry, DFT PBE; values from VASP
&SYSTEM
  ibrav = 0, nat = 6, ntyp = 2
/
ATOMIC_SPECIES
Ba 137.33 Ba.upf
Br 79.90 Br.upf
CELL_PARAMETERS angstrom
-2.112 2.187 16.213
2.112 -2.187 16.213
2.112 2.187 -16.213
ATOMIC_POSITIONS angstrom
Ba 2.112 -1.094 10.055
Ba 0.000 1.094 1.840
Ba 2.112 1.094 14.373
Ba 0.000 3.281 6.157
Br 2.112 1.094 4.610
Br 0.000 1.094 11.603
! Crystal system: orthorhombic
! Density in g/cm³: 3.93
! Space group: No. 74

=====

Run x
! Ba2Br, optimized geometry, DFT PBE; values from VASP
&SYSTEM
  ibrav = 0, nat = 9, ntyp = 2
/
ATOMIC_SPECIES
Ba 137.33 Ba.upf
Br 79.90 Br.upf
CELL_PARAMETERS angstrom
10.410 0.000 0.000
-5.205 9.015 0.000
0.000 0.000 4.450
ATOMIC_POSITIONS angstrom
Ba -1.293 2.240 0.000
Ba -3.008 5.211 2.225
Ba 2.586 0.000 0.000
Ba 2.197 3.804 2.225
Ba 6.017 0.000 2.225
Ba 3.912 6.775 0.000
Br 0.000 0.000 2.225
Br 0.000 6.010 0.000
Br 5.205 3.005 0.000
! Crystal system: hexagonal
! Density in g/cm³: 4.23
! Space group: No. 189

=====

Run y
! Ba2Br, optimized geometry, DFT PBE; values from VASP
&SYSTEM
  ibrav = 0, nat = 6, ntyp = 2
/
ATOMIC_SPECIES
Ba 137.33 Ba.upf
Br 79.90 Br.upf
CELL_PARAMETERS angstrom
-2.033 2.033 16.274
2.033 -2.033 16.274
2.033 2.033 -16.274
ATOMIC_POSITIONS angstrom
Ba 2.033 1.017 1.831
Ba 2.033 1.017 6.306
Ba 0.000 1.017 9.968
Ba 0.000 1.017 14.443
Br 2.033 -1.017 12.206
Br 0.000 3.050 4.069
! Crystal system: tetragonal
! Density in g/cm³: 4.38
! Space group: No. 141

=====

The least stable of them is run x.

=====

Run w
! Ba2Br, optimized geometry, DFT PBE; values from VASP
&SYSTEM
  ibrav = 0, nat = 6, ntyp = 2
/
ATOMIC_SPECIES
Ba 137.33 Ba.upf
Br 79.90 Br.upf
CELL_PARAMETERS angstrom
2.242 -9.293 0.000
2.242 9.293 0.000
0.000 0.000 6.974
ATOMIC_POSITIONS angstrom
Ba 2.242 8.227 5.231
Ba 2.242 2.922 5.231
Ba 2.242 -2.922 1.744
Ba 2.242 -8.227 1.744
Br 2.242 3.723 1.744
Br 2.242 -3.723 5.231
! Crystal system: orthorhombic
! Density in g/cm³: 4.05
! Space group: No. 63

=====

Run x
! Ba2Br, optimized geometry, DFT PBE; values from VASP
&SYSTEM
  ibrav = 0, nat = 3, ntyp = 2
/
ATOMIC_SPECIES
Ba 137.33 Ba.upf
Br 79.90 Br.upf
CELL_PARAMETERS angstrom
8.303 -2.072 0.000
8.303 2.072 0.000
-0.990 0.000 4.004
ATOMIC_POSITIONS angstrom
Ba 2.216 0.000 0.585
Ba 13.400 0.000 3.419
Br 7.808 0.000 2.002
! Crystal system: monoclinic
! Density in g/cm³: 4.27
! Space group: No. 12

=====

The least stable of them is run x.

=====

Run w
! Ba2Br, optimized geometry, DFT PBE; values from VASP
&SYSTEM
  ibrav = 0, nat = 6, ntyp = 2
/
ATOMIC_SPECIES
Ba 137.33 Ba.upf
Br 79.90 Br.upf
CELL_PARAMETERS angstrom
6.608 0.000 0.000
-3.304 5.723 0.000
0.000 0.000 7.464
ATOMIC_POSITIONS angstrom
Ba 0.000 0.000 0.000
Ba 0.000 0.000 3.732
Ba 0.000 3.815 1.866
Ba 3.304 1.908 5.598
Br 0.000 3.815 5.598
Br 3.304 1.908 1.866
! Crystal system: hexagonal
! Density in g/cm³: 4.17
! Space group: No. 194

=====

Run x
! Ba2Br, optimized geometry, DFT PBE; values from VASP
&SYSTEM
  ibrav = 0, nat = 3, ntyp = 2
/
ATOMIC_SPECIES
Ba 137.33 Ba.upf
Br 79.90 Br.upf
CELL_PARAMETERS angstrom
0.000 3.728 8.677
2.316 0.000 8.677
2.316 3.728 0.000
ATOMIC_POSITIONS angstrom
Ba 2.316 3.728 2.509
Ba 2.316 3.728 14.845
Br 2.316 3.728 8.677
! Crystal system: orthorhombic
! Density in g/cm³: 3.93
! Space group: No. 69

=====

The least stable of them is run w.

=====

Run w
! Ba2Br, optimized geometry, DFT PBE; values from VASP
&SYSTEM
  ibrav = 0, nat = 6, ntyp = 2
/
ATOMIC_SPECIES
Ba 137.33 Ba.upf
Br 79.90 Br.upf
CELL_PARAMETERS angstrom
8.344 -2.191 0.000
8.344 2.191 0.000
-4.499 0.000 8.378
ATOMIC_POSITIONS angstrom
Ba -1.153 0.000 2.476
Ba 3.275 0.000 2.362
Ba 8.914 0.000 6.017
Ba 13.342 0.000 5.902
Br 6.031 0.000 0.141
Br 6.158 0.000 8.237
! Crystal system: monoclinic
! Density in g/cm³: 3.84
! Space group: No. 12

=====

Run x
! Ba2Br, optimized geometry, DFT PBE; values from VASP
&SYSTEM
  ibrav = 0, nat = 3, ntyp = 2
/
ATOMIC_SPECIES
Ba 137.33 Ba.upf
Br 79.90 Br.upf
CELL_PARAMETERS angstrom
0.000 4.025 4.025
4.025 0.000 4.025
4.025 4.025 0.000
ATOMIC_POSITIONS angstrom
Ba 2.013 2.013 2.013
Ba 6.038 6.038 6.038
Br 0.000 0.000 0.000
! Crystal system: cubic
! Density in g/cm³: 4.51
! Space group: No. 225

=====

The least stable of them is run x.

=====

Run w
! Ba2Br, optimized geometry, DFT PBE; values from VASP
&SYSTEM
  ibrav = 0, nat = 3, ntyp = 2
/
ATOMIC_SPECIES
Ba 137.33 Ba.upf
Br 79.90 Br.upf
CELL_PARAMETERS angstrom
5.680 0.000 0.000
0.000 5.680 0.000
0.000 0.000 4.127
ATOMIC_POSITIONS angstrom
Ba 0.000 2.840 0.000
Ba 2.840 0.000 0.000
Br 0.000 0.000 2.063
! Crystal system: tetragonal
! Density in g/cm³: 4.42
! Space group: No. 123

=====

Run x
! Ba2Br, optimized geometry, DFT PBE; values from VASP
&SYSTEM
  ibrav = 0, nat = 3, ntyp = 2
/
ATOMIC_SPECIES
Ba 137.33 Ba.upf
Br 79.90 Br.upf
CELL_PARAMETERS angstrom
4.554 0.000 0.000
-2.277 3.944 0.000
0.000 0.000 8.199
ATOMIC_POSITIONS angstrom
Ba 0.000 2.629 1.787
Ba 2.277 1.315 6.412
Br 0.000 0.000 4.100
! Crystal system: trigonal
! Density in g/cm³: 4.00
! Space group: No. 164

=====

The least stable of them is run w.

=====

Run w
! Ba2Br, optimized geometry, DFT PBE; values from VASP
&SYSTEM
  ibrav = 0, nat = 6, ntyp = 2
/
ATOMIC_SPECIES
Ba 137.33 Ba.upf
Br 79.90 Br.upf
CELL_PARAMETERS angstrom
7.714 -2.191 0.000
7.714 2.191 0.000
-0.481 0.000 9.158
ATOMIC_POSITIONS angstrom
Ba 0.000 0.000 0.000
Ba -0.229 0.000 4.579
Ba 4.241 0.000 2.078
Ba 10.726 0.000 7.098
Br 5.111 0.000 5.436
Br 9.871 0.000 3.751
! Crystal system: monoclinic
! Density in g/cm³: 3.80
! Space group: No. 8

=====

Run x
! Ba2Br, optimized geometry, DFT PBE; values from VASP
&SYSTEM
  ibrav = 0, nat = 12, ntyp = 2
/
ATOMIC_SPECIES
Ba 137.33 Ba.upf
Br 79.90 Br.upf
CELL_PARAMETERS angstrom
8.354 0.000 0.000
0.000 8.354 0.000
0.000 0.000 8.354
ATOMIC_POSITIONS angstrom
Ba 1.210 1.210 1.210
Ba 1.210 2.967 5.387
Ba 2.967 5.387 1.210
Ba 2.967 7.144 5.387
Ba 5.387 1.210 2.967
Ba 5.387 2.967 7.144
Ba 7.144 5.387 2.967
Ba 7.144 7.144 7.144
Br 0.000 0.000 4.177
Br 0.000 4.177 0.000
Br 4.177 0.000 0.000
Br 4.177 4.177 4.177
! Crystal system: cubic
! Density in g/cm³: 4.04
! Space group: No. 205

=====

The least stable of them is run x.

=====

Run w
! Ba2Br, optimized geometry, DFT PBE; values from VASP
&SYSTEM
  ibrav = 0, nat = 6, ntyp = 2
/
ATOMIC_SPECIES
Ba 137.33 Ba.upf
Br 79.90 Br.upf
CELL_PARAMETERS angstrom
-4.228 4.228 3.736
4.228 -4.228 3.736
4.228 4.228 -3.736
ATOMIC_POSITIONS angstrom
Ba 5.660 1.432 0.000
Ba 1.432 2.796 0.000
Ba 2.796 1.432 3.736
Ba -1.432 2.796 3.736
Br 0.000 0.000 1.868
Br 0.000 0.000 5.604
! Crystal system: tetragonal
! Density in g/cm³: 4.41
! Space group: No. 140

=====

Run x
! Ba2Br, optimized geometry, DFT PBE; values from VASP
&SYSTEM
  ibrav = 0, nat = 3, ntyp = 2
/
ATOMIC_SPECIES
Ba 137.33 Ba.upf
Br 79.90 Br.upf
CELL_PARAMETERS angstrom
6.429 0.000 0.000
-3.214 5.567 0.000
0.000 0.000 3.776
ATOMIC_POSITIONS angstrom
Ba 0.000 3.712 0.000
Ba 3.214 1.856 0.000
Br 0.000 0.000 1.888
! Crystal system: hexagonal
! Density in g/cm³: 4.36
! Space group: No. 191

=====

The least stable of them is run x.

=====

Run w
! Ba3Br, optimized geometry, DFT PBE; values from VASP
&SYSTEM
  ibrav = 0, nat = 4, ntyp = 2
/
ATOMIC_SPECIES
Ba 137.33 Ba.upf
Br 79.90 Br.upf
CELL_PARAMETERS angstrom
2.240 1.293 12.173
-2.240 1.293 12.173
0.000 -2.587 12.173
ATOMIC_POSITIONS angstrom
Ba 0.000 0.000 0.000
Ba 0.000 0.000 8.452
Ba 0.000 0.000 28.067
Br 0.000 0.000 18.259
! Crystal system: trigonal
! Density in g/cm³: 3.86
! Space group: No. 166

=====

Run x
! Ba3Br, optimized geometry, DFT PBE; values from VASP
&SYSTEM
  ibrav = 0, nat = 16, ntyp = 2
/
ATOMIC_SPECIES
Ba 137.33 Ba.upf
Br 79.90 Br.upf
CELL_PARAMETERS angstrom
8.244 0.000 0.000
0.000 12.787 0.000
0.000 0.000 8.038
ATOMIC_POSITIONS angstrom
Ba 0.405 3.197 1.502
Ba 1.787 0.840 5.125
Ba 1.787 5.553 5.125
Ba 2.335 7.234 1.106
Ba 2.335 11.947 1.106
Ba 3.717 9.590 5.520
Ba 4.527 3.197 2.517
Ba 5.909 0.840 6.932
Ba 5.909 5.553 6.932
Ba 6.457 7.234 2.913
Ba 6.457 11.947 2.913
Ba 7.839 9.590 6.536
Br 1.038 9.590 3.247
Br 3.084 3.197 7.266
Br 5.160 9.590 0.772
Br 7.206 3.197 4.791
! Crystal system: orthorhombic
! Density in g/cm³: 3.86
! Space group: No. 62

=====

The least stable of them is run x.

=====

Run w
! Ba3Br, optimized geometry, DFT PBE; values from VASP
&SYSTEM
  ibrav = 0, nat = 8, ntyp = 2
/
ATOMIC_SPECIES
Ba 137.33 Ba.upf
Br 79.90 Br.upf
CELL_PARAMETERS angstrom
7.559 0.000 0.000
0.000 7.559 0.000
0.000 0.000 7.559
ATOMIC_POSITIONS angstrom
Ba 0.000 1.890 3.780
Ba 0.000 5.670 3.780
Ba 1.890 3.780 0.000
Ba 3.780 0.000 1.890
Ba 3.780 0.000 5.670
Ba 5.670 3.780 0.000
Br 0.000 0.000 0.000
Br 3.780 3.780 3.780
! Crystal system: cubic
! Density in g/cm³: 3.78
! Space group: No. 223

=====

Run x
! Ba3Br, optimized geometry, DFT PBE; values from VASP
&SYSTEM
  ibrav = 0, nat = 8, ntyp = 2
/
ATOMIC_SPECIES
Ba 137.33 Ba.upf
Br 79.90 Br.upf
CELL_PARAMETERS angstrom
7.652 -4.286 0.000
7.652 4.286 0.000
0.000 0.000 7.025
ATOMIC_POSITIONS angstrom
Ba 4.835 1.327 1.756
Ba 7.652 2.330 5.269
Ba 4.835 -1.327 5.269
Ba 10.470 1.327 1.756
Ba 7.652 -2.330 1.756
Ba 10.470 -1.327 5.269
Br 7.652 2.995 1.756
Br 7.652 -2.995 5.269
! Crystal system: orthorhombic
! Density in g/cm³: 3.54
! Space group: No. 63

=====

Run y
! Ba3Br, optimized geometry, DFT PBE; values from VASP
&SYSTEM
  ibrav = 0, nat = 4, ntyp = 2
/
ATOMIC_SPECIES
Ba 137.33 Ba.upf
Br 79.90 Br.upf
CELL_PARAMETERS angstrom
4.213 0.000 0.000
0.000 4.227 0.000
0.000 0.000 11.981
ATOMIC_POSITIONS angstrom
Ba 0.000 0.000 0.000
Ba 0.000 2.113 4.653
Ba 2.107 2.113 8.516
Br 2.107 0.000 2.813
! Crystal system: orthorhombic
! Density in g/cm³: 3.83
! Space group: No. 25

=====

Run z
! Ba3Br, optimized geometry, DFT PBE; values from VASP
&SYSTEM
  ibrav = 0, nat = 4, ntyp = 2
/
ATOMIC_SPECIES
Ba 137.33 Ba.upf
Br 79.90 Br.upf
CELL_PARAMETERS angstrom
-2.173 3.794 6.749
2.173 -3.794 6.749
2.173 3.794 -6.749
ATOMIC_POSITIONS angstrom
Ba 0.000 0.000 0.000
Ba 2.173 0.000 4.110
Ba 0.000 3.794 2.639
Br 0.000 0.000 6.749
! Crystal system: orthorhombic
! Density in g/cm³: 3.67
! Space group: No. 71

=====

The least stable of them is run w.

=====

Run w
! Ba3Br, optimized geometry, DFT PBE; values from VASP
&SYSTEM
  ibrav = 0, nat = 4, ntyp = 2
/
ATOMIC_SPECIES
Ba 137.33 Ba.upf
Br 79.90 Br.upf
CELL_PARAMETERS angstrom
4.514 0.000 0.000
0.000 7.131 0.000
0.000 0.000 7.714
ATOMIC_POSITIONS angstrom
Ba 0.000 0.000 0.000
Ba 0.000 3.566 2.444
Ba 2.257 0.000 3.780
Br 2.257 3.566 4.774
! Crystal system: orthorhombic
! Density in g/cm³: 3.29
! Space group: No. 25

=====

Run x
! Ba3Br, optimized geometry, DFT PBE; values from VASP
&SYSTEM
  ibrav = 0, nat = 4, ntyp = 2
/
ATOMIC_SPECIES
Ba 137.33 Ba.upf
Br 79.90 Br.upf
CELL_PARAMETERS angstrom
5.867 0.000 0.000
0.000 5.867 0.000
0.000 0.000 5.867
ATOMIC_POSITIONS angstrom
Ba 0.000 0.000 2.934
Ba 0.000 2.934 0.000
Ba 2.934 0.000 0.000
Br 2.934 2.934 2.934
! Crystal system: cubic
! Density in g/cm³: 4.04
! Space group: No. 221

=====

Run y
! Ba3Br, optimized geometry, DFT PBE; values from VASP
&SYSTEM
  ibrav = 0, nat = 4, ntyp = 2
/
ATOMIC_SPECIES
Ba 137.33 Ba.upf
Br 79.90 Br.upf
CELL_PARAMETERS angstrom
-2.703 2.703 7.517
2.703 -2.703 7.517
2.703 2.703 -7.517
ATOMIC_POSITIONS angstrom
Ba 0.000 0.000 0.000
Ba 2.703 0.000 3.759
Ba 0.000 2.703 3.759
Br 0.000 0.000 7.517
! Crystal system: tetragonal
! Density in g/cm³: 3.72
! Space group: No. 139

=====

Run z
! Ba3Br, optimized geometry, DFT PBE; values from VASP
&SYSTEM
  ibrav = 0, nat = 8, ntyp = 2
/
ATOMIC_SPECIES
Ba 137.33 Ba.upf
Br 79.90 Br.upf
CELL_PARAMETERS angstrom
8.193 0.000 0.000
-4.097 7.095 0.000
0.000 0.000 7.227
ATOMIC_POSITIONS angstrom
Ba 0.000 2.354 1.807
Ba -2.058 5.918 1.807
Ba 2.039 1.177 5.420
Ba 2.058 5.918 1.807
Ba 6.154 1.177 5.420
Ba 4.097 4.741 5.420
Br 0.000 4.730 5.420
Br 4.097 2.365 1.807
! Crystal system: hexagonal
! Density in g/cm³: 3.89
! Space group: No. 194

=====

The least stable of them is run x.